(1)
LiAl3Cu | meta-GGA SCAN | single point on PBEsol structure

Unit cell a=4.3400 b=4.3400 c=4.3400 alpha=90.00 beta=90.00 gamma=90.00
Space group Pm-3m (No. 221)
One atom of each set of equivalent atoms:
Li 0.0000 0.0000 0.0000
Al 0.0000 0.0000 0.5000
Cu 0.5000 0.5000 0.5000

- total magnetization (μB/f.u.) = 0.0
- E_form (eV per atom) = 0.70

***

(2)
Ba2HgP2 | meta-GGA SCAN | single point on PBEsol structure

Unit cell a=3.7498 b=3.7498 c=19.6564 alpha=90.00 beta=90.00 gamma=90.00
Space group I4/mmm (No. 139)
One atom of each set of equivalent atoms:
Ba 0.0000 0.0000 0.1196
Hg 0.0000 0.0000 0.5000
P 0.0000 0.5000 0.2500

- total magnetization (μB/f.u.) = 0.0
- E_form (eV per atom) = -0.47

***

(3)
Ba2HgRh | meta-GGA SCAN | single point on PBEsol structure

Unit cell a=3.8318 b=3.8318 c=8.0366 alpha=90.00 beta=90.00 gamma=90.00
Space group P4/mmm (No. 123)
One atom of each set of equivalent atoms:
Ba 0.0000 0.0000 0.2190
Hg 0.5000 0.5000 0.5000
Rh 0.5000 0.5000 0.0000

- total magnetization (μB/f.u.) = 0.1
- E_form (eV per atom) = -0.30

***

(4)
HfAsBr2F | meta-GGA SCAN | single point on PBEsol structure

Unit cell a=5.0906 b=5.0906 c=3.8844 alpha=90.00 beta=90.00 gamma=90.00
Space group P4/mmm (No. 123)
One atom of each set of equivalent atoms:
Hf 0.0000 0.0000 0.0000
As 0.5000 0.5000 0.0000
Br 0.0000 0.5000 0.5000
F 0.5000 0.5000 0.5000

- total magnetization (μB/f.u.) = 0.0
- ΔE_f (raw) (eV/atom) = 0.0423

***

(5)
Si2MoO6 | meta-GGA SCAN | single point on PBEsol structure

Unit cell a=9.8071 b=8.7336 c=5.3165 alpha=90.00 beta=109.85 gamma=90.00
Space group C2/c (No. 15)
One atom of each set of equivalent atoms:
Si 0.1947 0.0881 0.2381
Mo 0.0000 0.4085 0.2500
O 0.1244 0.4216 0.6476
O 0.1360 0.2623 0.2004
O 0.1394 0.9999 0.4540

- total magnetization (μB/f.u.) = 2.0
- ΔE_f (raw) (eV/atom) = -2.5895

***

(6)
KTl2Au | meta-GGA SCAN | single point on PBEsol structure

Unit cell a=3.5251 b=3.6069 c=8.3522 alpha=90.00 beta=90.00 gamma=90.00
Space group Pmmm (No. 47)
One atom of each set of equivalent atoms:
K 0.0000 0.0000 0.0000
Tl 0.5000 0.5000 0.3032
Au 0.0000 0.0000 0.5000

- total magnetization (μB/f.u.) = 0.0
- E_form (eV per atom) = -0.18

***

Q: Which value of total magnetization does entry 1 give?
A: 0.0 μB/f.u.

***

Q: Which of these has the highest total magnetization?
A: Si2MoO6